! TbPaCrO6 | Alexandria via LeMat-Bulk | PBE+U | relaxed; values from VASP
! Spin magnetization   2.0 μB per cell
! E_tot   -8.5234 eV/atom
&SYSTEM
  ibrav = 0, nat = 9, ntyp = 4
/
ATOMIC_SPECIES
Tb 158.93 Tb.upf
Pa 231.04 Pa.upf
Cr 52.00 Cr.upf
O 16.00 O.upf
CELL_PARAMETERS angstrom
-2.8641 -3.0188 -2.3826
0.4245 -3.5599 4.0001
-3.9250 3.6664 0.0728
ATOMIC_POSITIONS crystal
Tb 0.5000 0.6667 0.3333
Pa 0.0000 0.3333 0.6667
Cr 0.5000 0.0000 0.0000
O 0.7346 0.6886 0.7084
O 0.7346 0.2916 0.9802
O 0.7346 0.0198 0.3114
O 0.2654 0.2916 0.3114
O 0.2654 0.6886 0.9802
O 0.2654 0.0198 0.7084